A.
Density functional theory data (PBEsol) for an optimized crystal structure of CaBeRu3.

a b c (Å): 4.212 4.212 4.212
angles (deg): 90.00 90.00 90.00
Atoms (fractional coordinates):
1 Ru 0.000 0.500 0.000
2 Ru 0.000 0.000 0.500
3 Ru 0.500 0.000 0.000
4 Ca 0.500 0.500 0.500
5 Be 0.000 0.000 0.000

Computed properties:
Mass density, g/cm³: 7.8

***

B.
Density functional theory data (PBEsol) for an optimized crystal structure of CaBeRu3.

a b c (Å): 4.494 4.494 4.494
angles (deg): 90.00 90.00 90.00
Atoms (fractional coordinates):
1 Ru 0.000 0.500 0.000
2 Ru 0.000 0.000 0.500
3 Ru 0.500 0.000 0.000
4 Ca 0.000 0.000 0.000
5 Be 0.500 0.500 0.500

Computed properties:
Mass density, g/cm³: 6.4

***

Which structure loses on stability? B does.

***

A.
Density functional theory data (PBEsol) for an optimized crystal structure of CaTaBe2.

a b c (Å): 2.787 4.459 5.984
angles (deg): 97.78 90.00 108.21
Atoms (fractional coordinates):
1 Be 0.753 0.507 0.844
2 Be 0.247 0.493 0.156
3 Ca 0.000 0.000 0.500
4 Ta 0.500 0.000 0.000

Computed properties:
Mass density, g/cm³: 5.7

***

B.
Density functional theory data (PBEsol) for an optimized crystal structure of CaTaBe2.

a b c (Å): 3.090 3.995 5.985
angles (deg): 109.50 104.96 90.00
Atoms (fractional coordinates):
1 Be 0.089 0.089 0.178
2 Be 0.719 0.219 0.439
3 Ca 0.462 0.462 0.923
4 Ta 0.230 0.730 0.460

Computed properties:
Mass density, g/cm³: 5.9

***

Which structure loses on stability? A does.

***

A.
Density functional theory data (PBEsol) for an optimized crystal structure of CaBe2Tc.

a b c (Å): 4.294 4.294 4.294
angles (deg): 59.97 59.97 59.97
Atoms (fractional coordinates):
1 Be 0.250 0.250 0.250
2 Be 0.750 0.750 0.750
3 Ca 0.500 0.500 0.500
4 Tc 0.000 0.000 0.000

Computed properties:
Mass density, g/cm³: 4.6

***

B.
Density functional theory data (PBEsol) for an optimized crystal structure of CaBe2Tc.

a b c (Å): 2.563 4.324 5.633
angles (deg): 95.12 90.00 107.24
Atoms (fractional coordinates):
1 Be 0.761 0.522 0.844
2 Be 0.239 0.478 0.156
3 Ca 0.000 0.000 0.500
4 Tc 0.500 0.000 0.000

Computed properties:
Mass density, g/cm³: 4.4

***

Which structure loses on stability? A does.

***

A.
Density functional theory data (PBEsol) for an optimized crystal structure of Ca2BeTe.

a b c (Å): 3.778 4.725 6.356
angles (deg): 111.82 107.29 90.00
Atoms (fractional coordinates):
1 Be 0.786 0.286 0.572
2 Ca 0.024 0.024 0.048
3 Ca 0.245 0.745 0.490
4 Te 0.445 0.445 0.890

Computed properties:
Mass density, g/cm³: 3.6

***

B.
Density functional theory data (PBEsol) for an optimized crystal structure of Ca2BeTe.

a b c (Å): 6.667 6.667 6.667
angles (deg): 106.69 106.69 115.20
Atoms (fractional coordinates):
1 Be 0.750 0.250 0.500
2 Be 0.500 0.500 0.000
3 Ca 0.856 0.875 0.481
4 Ca 0.394 0.375 0.519
5 Ca 0.625 0.144 0.019
6 Ca 0.125 0.606 0.981
7 Te 0.250 0.750 0.500
8 Te 0.000 0.000 0.000

Computed properties:
Mass density, g/cm³: 3.2

***

C.
Density functional theory data (PBEsol) for an optimized crystal structure of Ca2BeTe.

a b c (Å): 4.344 4.344 6.186
angles (deg): 90.00 90.00 90.00
Atoms (fractional coordinates):
1 Be 0.500 0.500 0.500
2 Ca 0.000 0.000 0.500
3 Ca 0.500 0.500 0.000
4 Te 0.000 0.000 0.000

Computed properties:
Mass density, g/cm³: 3.1

***

D.
Density functional theory data (PBEsol) for an optimized crystal structure of Ca2BeTe.

a b c (Å): 4.286 4.304 7.620
angles (deg): 106.20 90.00 119.86
Atoms (fractional coordinates):
1 Be 0.500 0.000 0.000
2 Ca 0.752 0.505 0.758
3 Ca 0.248 0.495 0.242
4 Te 0.000 0.000 0.500

Computed properties:
Mass density, g/cm³: 3.1

***

Which structure loses on stability? B does.

***

A.
Density functional theory data (PBEsol) for an optimized crystal structure of CaBe2Tl.

a b c (Å): 3.450 3.450 6.445
angles (deg): 90.00 90.00 90.00
Atoms (fractional coordinates):
1 Be 0.000 0.000 0.692
2 Be 0.000 0.000 0.308
3 Tl 0.500 0.500 0.500
4 Ca 0.500 0.500 0.000

Computed properties:
Mass density, g/cm³: 5.7

***

B.
Density functional theory data (PBEsol) for an optimized crystal structure of CaBe2Tl.

a b c (Å): 4.505 4.505 8.945
angles (deg): 104.59 104.59 90.00
Atoms (fractional coordinates):
1 Be 0.625 0.875 0.750
2 Be 0.125 0.875 0.750
3 Be 0.125 0.875 0.250
4 Be 0.125 0.375 0.250
5 Tl 0.000 0.000 0.000
6 Tl 0.250 0.750 0.500
7 Ca 0.500 0.500 0.000
8 Ca 0.750 0.250 0.500

Computed properties:
Mass density, g/cm³: 5.1

***

Which structure loses on stability? A does.

***

A.
Density functional theory data (PBEsol) for an optimized crystal structure of BeCd.

a b c (Å): 4.003 4.003 8.726
angles (deg): 90.00 90.00 120.00
Atoms (fractional coordinates):
1 Be 0.000 0.000 0.750
2 Be 0.000 0.000 0.250
3 Be 0.667 0.333 0.250
4 Be 0.333 0.667 0.750
5 Cd 0.667 0.333 0.908
6 Cd 0.333 0.667 0.408
7 Cd 0.333 0.667 0.092
8 Cd 0.667 0.333 0.592

Computed properties:
Mass density, g/cm³: 6.7

***

B.
Density functional theory data (PBEsol) for an optimized crystal structure of BeCd.

a b c (Å): 3.051 3.051 3.051
angles (deg): 90.00 90.00 90.00
Atoms (fractional coordinates):
1 Be 0.000 0.000 0.000
2 Cd 0.500 0.500 0.500

Computed properties:
Mass density, g/cm³: 7.1

***

C.
Density functional theory data (PBEsol) for an optimized crystal structure of BeCd.

a b c (Å): 2.733 3.536 6.281
angles (deg): 90.00 90.00 90.00
Atoms (fractional coordinates):
1 Be 0.000 0.000 0.504
2 Be 0.500 0.500 0.496
3 Cd 0.500 0.000 0.159
4 Cd 0.000 0.500 0.841

Computed properties:
Mass density, g/cm³: 6.6

***

Which structure loses on stability? B does.